This record from Alexandria via LeMat-Bulk describes a PBEsol-optimized structure of CdGeSCl2. The functional is SCAN.

```
CdGeSCl2
1.0
4.918 0.000 0.000
0.000 4.918 0.000
0.000 0.000 5.125
Cd Ge S Cl
1 1 1 2
Direct
0.000 0.000 0.000
0.500 0.500 0.500
0.000 0.000 0.500
0.000 0.500 0.000
0.500 0.000 0.000
```

raw total energy = -15.13 eV per atom
offset from the most stable computed form = 0.150 eV per atom
calculated volume = 124 Å³ per cell

This record from Alexandria via LeMat-Bulk describes a PBEsol-optimized structure of CdGeSCl2. The functional is SCAN.

```
CdGeSCl2
1.0
4.822 0.000 0.000
0.000 4.822 0.000
0.000 0.000 4.843
Cd Ge S Cl
1 1 1 2
Direct
0.000 0.000 0.000
0.500 0.500 0.500
0.500 0.500 0.000
0.000 0.500 0.500
0.500 0.000 0.500
```

raw total energy = -15.28 eV per atom
offset from the most stable computed form = 0.000 eV per atom
calculated volume = 113 Å³ per cell

- calculated volume of number 2 (CdGeSCl2)?
  113 Å³ per cell

- raw total energy of number 2 (CdGeSCl2)?
  -15.28 eV per atom

- Which of these has the lowest calculated volume?
  number 2

- Among the records above, which one has the highest raw total energy?
  number 1